1.
KInTeI2 | PBE-GGA | relaxed

abc: 6.5473 6.5473 6.3664
angles: 90.00 90.00 90.00
With the nearest neighbours (Å) after each atom.
Space group P4/mmm (No. 123)
Inequivalent atoms, fractional coordinates:
K  0.0000  0.0000  0.0000 [1 per cell]  2 Te 3.18, 4 I 3.27
In  0.5000  0.5000  0.5000 [1 per cell]  8 I 4.57, 4 Te 4.63
Te  0.0000  0.0000  0.5000 [1 per cell]  2 K 3.18
I  0.0000  0.5000  0.0000 [2 per cell]  2 K 3.27

As for the offset from the most stable computed form: 524 meV/atom. The formation energy (no corrections) is -0.057 eV per atom. The density of states at the Fermi level comes out at 4.68 states/eV/cell.

=====

2.
TlCr2Re | PBE-GGA | relaxed

abc: 3.1227 4.6291 8.6545
angles: 90.00 90.00 90.00
With the nearest neighbours (Å) after each atom.
Space group Cmmm (No. 65)
Inequivalent atoms, fractional coordinates:
Tl  0.0000  0.0000  0.0000 [2 per cell]  6 Tl 2.79-3.12, 4 Cr 2.85
Cr  0.0000  0.5000  0.2755 [4 per cell]  2 Re 2.49
Re  0.0000  0.0000  0.5000 [2 per cell]  4 Cr 2.49

The value obtained for the energy relative to the elements is 0.664 eV per atom. As for the offset from the most stable computed form: 193 meV/atom. The density of states at the Fermi level comes out at 8.12 states/eV/cell.